HfPaZn PBE-GGA relaxed; ΔH_f (0 K) = 0.462 eV/atom
1.0
0.0000 3.2835 3.2835
3.2835 0.0000 3.2835
3.2835 3.2835 0.0000
Hf Pa Zn
1 1 1
Cartesian
0.0000 0.0000 0.0000 Hf
3.2835 3.2835 3.2835 Pa
1.6418 1.6418 1.6418 Zn